# 1
Density functional theory data (PBE) for a geometry-optimized TaInAs2 structure.

Unit cell a=5.197 b=5.197 c=5.197 alpha=138.69 beta=122.14 gamma=73.55
Positions (direct):
As 0.002 0.002 0.000
As 0.498 0.498 0.000
In 0.750 0.250 0.500
Ta 0.250 0.750 0.500

Calculated values
DOS at the Fermi energy = 0.538 states/eV/atom
Formation energy from the elements = 0.237 eV per atom

# 2
Density functional theory data (PBE) for a geometry-optimized TaIn4As structure.

Unit cell a=5.769 b=5.769 c=5.769 alpha=60.00 beta=60.00 gamma=60.00
Positions (direct):
Ta 0.750 0.750 0.750
In 0.874 0.375 0.375
In 0.375 0.375 0.874
In 0.375 0.874 0.375
In 0.375 0.375 0.375
As 0.000 0.000 0.000

Calculated values
DOS at the Fermi energy = 0.605 states/eV/atom
Formation energy from the elements = 0.647 eV per atom